Below is a relaxed YTc3 crystal, with properties calculated at the PBE level.

abc: 5.189 5.189 5.189
angles: 90.00 90.00 90.00
Element x y z (fractional)
1 Tc 0.000 0.250 0.500
2 Y 0.000 0.000 0.000
3 Tc 0.500 0.000 0.250
4 Tc 0.000 0.750 0.500
5 Tc 0.250 0.500 0.000
6 Tc 0.750 0.500 0.000
7 Tc 0.500 0.000 0.750
8 Y 0.500 0.500 0.500

Energy above the lowest structure with this stoichiometry ... 29.63 kJ per mole of atoms
DFT total energy ... -8.90 eV/atom
Space group ... Pm-3n (223)
Calculated formation energy ... 11.3 kcal/mol of atoms